# WBrO

A relaxed WBrO crystal (PBE with a Hubbard U, Alexandria via LeMat-Bulk). Values from VASP.

Output
As for the final energy: -5.428 eV/atom.

The structure in Quantum ESPRESSO input format:
```
&SYSTEM
  ibrav = 0, nat = 12, ntyp = 3
/
ATOMIC_SPECIES
O 16.00 O.upf
W 183.84 W.upf
Br 79.90 Br.upf
CELL_PARAMETERS angstrom
6.314 -0.836 0.000
-3.358 7.377 0.000
0.000 0.000 6.097
ATOMIC_POSITIONS angstrom
O -1.966 4.617 0.840
O 1.765 2.342 3.888
O 4.922 1.924 5.257
O 1.191 4.199 2.209
W -0.197 3.488 0.775
W -0.004 3.471 3.824
W 3.153 3.053 5.321
W 2.960 3.070 2.273
Br 1.699 1.283 0.688
Br -1.900 5.676 3.736
Br 1.257 5.258 5.409
Br 4.856 0.865 2.360
```